[1]
## BaCaTeN2 (PBE)

Data for a relaxed BaCaTeN2 crystal.

```
BaCaTeN2
1.0
-3.1332 1.1698 -3.5618
-1.2480 -4.7026 -0.4467
-4.4269 0.7806 4.1505
Te Ba N Ca
1 1 2 1
direct
0.0000 0.0000 0.5000 Te
0.5000 0.5000 0.5000 Ba
0.5000 0.0000 0.0000 N
0.0000 0.5000 0.0000 N
0.0000 0.0000 0.0000 Ca
```

relative energy among the computed polymorphs: 0 meV/atom
formation energy (no corrections): 311 meV/atom

=====

[2]
## ErTcB4 (PBE)

Data for a relaxed ErTcB4 crystal.

```
ErTcB4
1.0
-2.0851 0.4338 -2.8859
2.2636 -4.9564 -2.3805
-8.2725 -6.2011 5.0448
B Er Tc
16 4 4
direct
0.5000 0.6135 0.9524 B
0.5000 0.1353 0.9688 B
0.5000 0.3865 0.0476 B
0.5000 0.0224 0.6929 B
0.5000 0.7882 0.1851 B
0.5000 0.1135 0.5476 B
0.5000 0.5224 0.8071 B
0.5000 0.2118 0.8149 B
0.5000 0.8865 0.4524 B
0.5000 0.6353 0.5312 B
0.5000 0.3647 0.4688 B
0.5000 0.9776 0.3071 B
0.5000 0.7118 0.6851 B
0.5000 0.8647 0.0312 B
0.5000 0.4776 0.1929 B
0.5000 0.2882 0.3149 B
0.0000 0.8726 0.8502 Er
0.0000 0.3726 0.6498 Er
0.0000 0.1274 0.1498 Er
0.0000 0.6274 0.3502 Er
0.0000 0.8665 0.5877 Tc
0.0000 0.1335 0.4123 Tc
0.0000 0.3665 0.9123 Tc
0.0000 0.6335 0.0877 Tc
```

formation enthalpy at 0 K: -0.6469 eV/atom
relative energy among the computed polymorphs: 0 meV/atom

=====

[3]
## CeSc5In4 (PBE)

Data for a relaxed CeSc5In4 crystal.

```
CeSc5In4
1.0
3.2440 0.0000 0.0000
0.0000 4.3121 0.0000
0.0000 0.0000 16.7556
In Sc Ce
4 5 1
direct
0.0000 0.0000 0.2076 In
0.0000 0.0000 0.4035 In
0.0000 0.0000 0.5965 In
0.0000 0.0000 0.7924 In
0.5000 0.5000 0.5000 Sc
0.5000 0.5000 0.1133 Sc
0.5000 0.5000 0.3080 Sc
0.5000 0.5000 0.8867 Sc
0.5000 0.5000 0.6920 Sc
0.0000 0.0000 0.0000 Ce
```

formation enthalpy at 0 K: -0.3104 eV/atom
relative energy among the computed polymorphs: 36 meV/atom